A plane-wave DFT calculation with PBE was carried out for crystalline Na3Nd2HfS6 at its relaxed geometry.

The structure in CIF format:
```
data_Na3Nd2HfS6
_chemical_formula_sum 'Na6 Nd4 Hf2 S12'
_symmetry_space_group_name_H-M 'C 1 2/m 1'
_symmetry_Int_Tables_number 12
_symmetry_space_group_name_Hall '-C 2y'
_cell_length_a 6.875
_cell_length_b 11.913
_cell_length_c 7.118
_cell_angle_alpha 90.00
_cell_angle_beta 108.97
_cell_angle_gamma 90.00
loop_
_atom_site_label
_atom_site_type_symbol
_atom_site_fract_x
_atom_site_fract_y
_atom_site_fract_z
Na1 Na 0.000 0.000 0.000
Na2 Na 0.000 0.332 0.000
Nd1 Nd 0.000 0.167 0.500
Hf1 Hf 0.000 0.500 0.500
S1 S 0.230 0.500 0.273
S2 S 0.231 0.347 0.730
```

- E_form (uncorrected): -1.656 eV/atom
- Electronic total energy: -5.673 eV/atom
- DOS at the Fermi energy: 7.60 states/eV/cell

A plane-wave DFT calculation with PBE was carried out for crystalline Na2NdHfS4 at its relaxed geometry.

The structure in CIF format:
```
data_Na2NdHfS4
_chemical_formula_sum 'Na2 Nd1 Hf1 S4'
_symmetry_space_group_name_H-M 'P 1 2/m 1'
_symmetry_Int_Tables_number 10
_symmetry_space_group_name_Hall '-P 2y'
_cell_length_a 6.783
_cell_length_b 3.863
_cell_length_c 7.106
_cell_angle_alpha 90.00
_cell_angle_beta 108.17
_cell_angle_gamma 90.00
loop_
_atom_site_label
_atom_site_type_symbol
_atom_site_fract_x
_atom_site_fract_y
_atom_site_fract_z
Na1 Na 0.000 0.000 0.000
Na2 Na 0.500 0.500 0.000
Nd1 Nd 0.000 0.500 0.500
Hf1 Hf 0.500 0.000 0.500
S1 S 0.269 0.000 0.733
S2 S 0.281 0.500 0.279
```

- E_form (uncorrected): -1.584 eV/atom
- Electronic total energy: -5.817 eV/atom
- DOS at the Fermi energy: 3.01 states/eV/cell

A plane-wave DFT calculation with PBE was carried out for crystalline Na3Nd2HfSe6 at its relaxed geometry.

The structure in CIF format:
```
data_Na3Nd2HfSe6
_chemical_formula_sum 'Na6 Nd4 Hf2 Se12'
_symmetry_space_group_name_H-M 'C 1 2/m 1'
_symmetry_Int_Tables_number 12
_symmetry_space_group_name_Hall '-C 2y'
_cell_length_a 7.144
_cell_length_b 12.384
_cell_length_c 7.457
_cell_angle_alpha 90.00
_cell_angle_beta 108.82
_cell_angle_gamma 90.00
loop_
_atom_site_label
_atom_site_type_symbol
_atom_site_fract_x
_atom_site_fract_y
_atom_site_fract_z
Na1 Na 0.000 0.000 0.000
Na2 Na 0.000 0.329 0.000
Nd1 Nd 0.000 0.166 0.500
Hf1 Hf 0.000 0.500 0.500
Se1 Se 0.230 0.500 0.269
Se2 Se 0.232 0.346 0.733
```

- E_form (uncorrected): -1.514 eV/atom
- Electronic total energy: -5.211 eV/atom
- DOS at the Fermi energy: 8.13 states/eV/cell

A plane-wave DFT calculation with PBE was carried out for crystalline Na2NdHfSe4 at its relaxed geometry.

The structure in CIF format:
```
data_Na2NdHfSe4
_chemical_formula_sum 'Na2 Nd1 Hf1 Se4'
_symmetry_space_group_name_H-M 'P 1 2/m 1'
_symmetry_Int_Tables_number 10
_symmetry_space_group_name_Hall '-P 2y'
_cell_length_a 7.050
_cell_length_b 4.023
_cell_length_c 7.460
_cell_angle_alpha 90.00
_cell_angle_beta 108.03
_cell_angle_gamma 90.00
loop_
_atom_site_label
_atom_site_type_symbol
_atom_site_fract_x
_atom_site_fract_y
_atom_site_fract_z
Na1 Na 0.000 0.000 0.000
Na2 Na 0.500 0.500 0.000
Nd1 Nd 0.000 0.500 0.500
Hf1 Hf 0.500 0.000 0.500
Se1 Se 0.268 0.000 0.735
Se2 Se 0.279 0.500 0.276
```

- E_form (uncorrected): -1.429 eV/atom
- Electronic total energy: -5.341 eV/atom
- DOS at the Fermi energy: 3.03 states/eV/cell

A plane-wave DFT calculation with PBE was carried out for crystalline Na4Nd3HfSe8 at its relaxed geometry.

The structure in CIF format:
```
data_Na4Nd3HfSe8
_chemical_formula_sum 'Na12 Nd9 Hf3 Se24'
_symmetry_space_group_name_H-M 'R -3 m'
_symmetry_Int_Tables_number 166
_symmetry_space_group_name_Hall '-R 3 2"'
_cell_length_a 8.3302
_cell_length_b 8.3302
_cell_length_c 21.1589
_cell_angle_alpha 90.00
_cell_angle_beta 90.00
_cell_angle_gamma 120.00
loop_
_atom_site_label
_atom_site_type_symbol
_atom_site_fract_x
_atom_site_fract_y
_atom_site_fract_z
Na1 Na 0.0000 0.0000 0.0000
Na2 Na 0.0000 0.5000 0.0000
Nd1 Nd 0.0000 0.5000 0.5000
Hf1 Hf 0.0000 0.0000 0.5000
Se1 Se 0.0000 0.0000 0.2479
Se2 Se 0.0238 0.5119 0.2431
```

- E_form (uncorrected): -1.550 eV/atom
- Electronic total energy: -5.138 eV/atom
- DOS at the Fermi energy: 12.51 states/eV/cell

A plane-wave DFT calculation with PBE was carried out for crystalline Na2NdHfTe4 at its relaxed geometry.

The structure in CIF format:
```
data_Na2NdHfTe4
_chemical_formula_sum 'Na2 Nd1 Hf1 Te4'
_symmetry_space_group_name_H-M 'P 1 2/m 1'
_symmetry_Int_Tables_number 10
_symmetry_space_group_name_Hall '-P 2y'
_cell_length_a 7.518
_cell_length_b 4.287
_cell_length_c 8.062
_cell_angle_alpha 90.00
_cell_angle_beta 107.68
_cell_angle_gamma 90.00
loop_
_atom_site_label
_atom_site_type_symbol
_atom_site_fract_x
_atom_site_fract_y
_atom_site_fract_z
Na1 Na 0.000 0.000 0.000
Na2 Na 0.500 0.500 0.000
Nd1 Nd 0.000 0.500 0.500
Hf1 Hf 0.500 0.000 0.500
Te1 Te 0.266 0.000 0.736
Te2 Te 0.278 0.500 0.275
```

- E_form (uncorrected): -1.044 eV/atom
- Electronic total energy: -4.785 eV/atom
- DOS at the Fermi energy: 3.08 states/eV/cell

A plane-wave DFT calculation with PBE was carried out for crystalline Na4Nd3HfTe8 at its relaxed geometry.

The structure in CIF format:
```
data_Na4Nd3HfTe8
_chemical_formula_sum 'Na12 Nd9 Hf3 Te24'
_symmetry_space_group_name_H-M 'R -3 m'
_symmetry_Int_Tables_number 166
_symmetry_space_group_name_Hall '-R 3 2"'
_cell_length_a 8.8676
_cell_length_b 8.8676
_cell_length_c 22.8427
_cell_angle_alpha 90.00
_cell_angle_beta 90.00
_cell_angle_gamma 120.00
loop_
_atom_site_label
_atom_site_type_symbol
_atom_site_fract_x
_atom_site_fract_y
_atom_site_fract_z
Na1 Na 0.0000 0.0000 0.0000
Na2 Na 0.0000 0.5000 0.0000
Nd1 Nd 0.0000 0.5000 0.5000
Hf1 Hf 0.0000 0.0000 0.5000
Te1 Te 0.0000 0.0000 0.2484
Te2 Te 0.0219 0.5110 0.2438
```

- E_form (uncorrected): -1.181 eV/atom
- Electronic total energy: -4.597 eV/atom
- DOS at the Fermi energy: 13.19 states/eV/cell

A plane-wave DFT calculation with PBE was carried out for crystalline Na2NdHf2Te6 at its relaxed geometry.

The structure in CIF format:
```
data_Na2NdHf2Te6
_chemical_formula_sum 'Na4 Nd2 Hf4 Te12'
_symmetry_space_group_name_H-M 'C 1 2/m 1'
_symmetry_Int_Tables_number 12
_symmetry_space_group_name_Hall '-C 2y'
_cell_length_a 7.269
_cell_length_b 12.721
_cell_length_c 8.076
_cell_angle_alpha 90.00
_cell_angle_beta 106.74
_cell_angle_gamma 90.00
loop_
_atom_site_label
_atom_site_type_symbol
_atom_site_fract_x
_atom_site_fract_y
_atom_site_fract_z
Na1 Na 0.000 0.156 0.000
Nd1 Nd 0.000 0.000 0.500
Hf1 Hf 0.000 0.332 0.500
Te1 Te 0.209 0.500 0.726
Te2 Te 0.249 0.322 0.273
```

- E_form (uncorrected): -0.991 eV/atom
- Electronic total energy: -5.188 eV/atom
- DOS at the Fermi energy: 10.24 states/eV/cell